[1]
{
  "formula": "MgPbSe2",
  "functional": "PBE-GGA",
  "state": "relaxed",
  "cell": [[-0.294, 1.979, 5.055], [2.518, -4.348, 2.078], [1.441, 3.953, -3.443]],
  "species": ["Mg", "Pb", "Se", "Se"],
  "fractional_positions": [[0.750, 0.250, 0.500], [0.250, 0.750, 0.500], [0.963, 0.963, 0.000], [0.537, 0.537, 0.000]],
  "space_group": "Immm (71)",
  "m_tot_mub_per_cell": 0.0,
  "formation_energy_uncorrected_ev_per_atom": -0.569,
  "final_energy_ev_per_atom": -3.637,
  "dos_ef_per_ev_atom": 0.06
}

***

[2]
{
  "formula": "MgPbSe2",
  "functional": "PBE-GGA",
  "state": "relaxed",
  "cell": [[3.790, -0.010, 0.000], [-1.439, 3.506, 0.000], [0.000, 0.000, 7.721]],
  "species": ["Mg", "Pb", "Se", "Se"],
  "fractional_positions": [[0.500, 0.500, 0.250], [0.500, 0.500, 0.750], [0.000, 0.000, 0.031], [0.000, 0.000, 0.469]],
  "space_group": "Cmmm (65)",
  "m_tot_mub_per_cell": 0.0,
  "formation_energy_uncorrected_ev_per_atom": -0.539,
  "final_energy_ev_per_atom": -3.607,
  "dos_ef_per_ev_atom": 0.24
}

***

Repeat the first record exactly.
{
  "formula": "MgPbSe2",
  "functional": "PBE-GGA",
  "state": "relaxed",
  "cell": [[-0.294, 1.979, 5.055], [2.518, -4.348, 2.078], [1.441, 3.953, -3.443]],
  "species": ["Mg", "Pb", "Se", "Se"],
  "fractional_positions": [[0.750, 0.250, 0.500], [0.250, 0.750, 0.500], [0.963, 0.963, 0.000], [0.537, 0.537, 0.000]],
  "space_group": "Immm (71)",
  "m_tot_mub_per_cell": 0.0,
  "formation_energy_uncorrected_ev_per_atom": -0.569,
  "final_energy_ev_per_atom": -3.637,
  "dos_ef_per_ev_atom": 0.06
}

***

- Number 1 is which compound?
  MgPbSe2